# 1
This record from the Alexandria database describes an optimized crystal structure of TmSc2SnRh4. The functional is GGA-PBE.

```
data_TmSc2SnRh4
_symmetry_space_group_name_H-M 'R -3 m'
_symmetry_Int_Tables_number 166
_symmetry_space_group_name_Hall '-R 3 2"'
_cell_length_a 4.6111
_cell_length_b 4.6111
_cell_length_c 22.6947
_cell_angle_alpha 90.00
_cell_angle_beta 90.00
_cell_angle_gamma 120.00
loop_
_atom_site_label
_atom_site_fract_x
_atom_site_fract_y
_atom_site_fract_z
Tm1 0.0000 0.0000 0.0000
Sc1 0.0000 0.0000 0.2464
Sn1 0.0000 0.0000 0.5000
Rh1 0.0000 0.0000 0.1249
Rh2 0.0000 0.0000 0.3766
```

## Properties
calculated total energy: -0.26606 Ha/atom
ΔH_f (0 K): -0.922 eV per atom
M_tot: 0.000 μB per atom
V: 418 Å³ per cell



# 2
This record from the Alexandria database describes an optimized crystal structure of InCuSi. The functional is GGA-PBE.

```
data_InCuSi
_symmetry_space_group_name_H-M 'C 1 2/m 1'
_symmetry_Int_Tables_number 12
_symmetry_space_group_name_Hall '-C 2y'
_cell_length_a 5.4366
_cell_length_b 5.4363
_cell_length_c 7.0352
_cell_angle_alpha 90.00
_cell_angle_beta 90.09
_cell_angle_gamma 90.00
loop_
_atom_site_label
_atom_site_fract_x
_atom_site_fract_y
_atom_site_fract_z
In1 0.2503 0.0000 0.1241
Cu1 0.2490 0.0000 0.7220
Si1 0.0000 0.2508 0.5000
```

## Properties
calculated total energy: -0.14508 Ha/atom
M_tot: 0.000 μB per atom
V: 208 Å³ per cell
formation energy from raw total energies: 138 meV per atom



Repeat the second record exactly.
This record from the Alexandria database describes an optimized crystal structure of InCuSi. The functional is GGA-PBE.

```
data_InCuSi
_symmetry_space_group_name_H-M 'C 1 2/m 1'
_symmetry_Int_Tables_number 12
_symmetry_space_group_name_Hall '-C 2y'
_cell_length_a 5.4366
_cell_length_b 5.4363
_cell_length_c 7.0352
_cell_angle_alpha 90.00
_cell_angle_beta 90.09
_cell_angle_gamma 90.00
loop_
_atom_site_label
_atom_site_fract_x
_atom_site_fract_y
_atom_site_fract_z
In1 0.2503 0.0000 0.1241
Cu1 0.2490 0.0000 0.7220
Si1 0.0000 0.2508 0.5000
```

## Properties
calculated total energy: -0.14508 Ha/atom
M_tot: 0.000 μB per atom
V: 208 Å³ per cell
formation energy from raw total energies: 138 meV per atom



What did the second record say?
This record from the Alexandria database describes an optimized crystal structure of InCuSi. The functional is GGA-PBE.

```
data_InCuSi
_symmetry_space_group_name_H-M 'C 1 2/m 1'
_symmetry_Int_Tables_number 12
_symmetry_space_group_name_Hall '-C 2y'
_cell_length_a 5.4366
_cell_length_b 5.4363
_cell_length_c 7.0352
_cell_angle_alpha 90.00
_cell_angle_beta 90.09
_cell_angle_gamma 90.00
loop_
_atom_site_label
_atom_site_fract_x
_atom_site_fract_y
_atom_site_fract_z
In1 0.2503 0.0000 0.1241
Cu1 0.2490 0.0000 0.7220
Si1 0.0000 0.2508 0.5000
```

## Properties
calculated total energy: -0.14508 Ha/atom
M_tot: 0.000 μB per atom
V: 208 Å³ per cell
formation energy from raw total energies: 138 meV per atom